Entry 1:
ZnCdSb3 GGA-PBE relaxed; uncorrected formation energy = 539 meV/atom
1.0
5.267 0.000 0.000
0.000 5.267 0.000
0.000 0.000 5.267
Sb Zn Cd
3 1 1
Cartesian
0.000 2.634 0.000
0.000 0.000 2.634
2.634 0.000 0.000
0.000 0.000 0.000
2.634 2.634 2.634



Entry 2:
CrMoAs GGA-PBE relaxed; formation energy from the elements = 0.10 eV/atom
1.0
4.888 -0.343 0.264
4.091 2.603 0.755
0.797 -0.280 2.974
As Cr Mo
1 1 1
Cartesian
8.900 2.235 1.038
3.582 0.584 2.308
6.274 1.420 1.665



Entry 3:
NiTe2I GGA-PBE relaxed; uncorrected formation energy = 171 meV/atom
1.0
9.273 0.000 0.000
0.000 9.273 0.000
4.636 4.636 3.040
I Ni Te
2 2 4
Cartesian
9.273 9.273 1.520
4.636 4.636 1.520
9.273 4.636 1.520
4.636 9.273 1.520
7.926 3.290 0.000
1.347 5.983 0.000
3.290 1.347 0.000
5.983 7.926 0.000



Entry 4:
TaSI2O GGA-PBE relaxed; uncorrected formation energy = -299 meV/atom
1.0
5.596 0.000 0.000
0.000 5.596 0.000
0.000 0.000 3.883
I S O Ta
2 1 1 1
Cartesian
0.000 2.798 0.000
2.798 0.000 0.000
2.798 2.798 1.942
0.000 0.000 1.942
0.000 0.000 0.000



Entry 5:
ZrSi3Br GGA-PBE relaxed; uncorrected formation energy = 851 meV/atom
1.0
-0.281 0.355 5.203
3.260 -4.055 0.453
4.070 3.272 -0.004
Si Br Zr
3 1 1
Cartesian
1.630 -2.027 0.227
2.035 1.636 -0.002
-0.140 0.178 2.601
3.525 -0.214 2.826
0.000 0.000 0.000



Entry 6:
DyHo5Th2 GGA-PBE relaxed; formation energy from the elements = 0.10 eV/atom
1.0
-1.893 2.292 1.864
-7.917 -0.824 -3.725
-4.062 -5.308 5.705
Dy Ho Th
1 5 2
Cartesian
0.000 0.000 0.000
-5.990 -3.066 0.990
-6.519 0.224 -0.291
-7.354 -4.064 4.135
-9.150 -1.974 -0.260
-4.722 -1.866 4.104
-10.495 -2.955 2.884
-3.378 -0.884 0.960